The following is a GGA-PBE calculation of a relaxed structure of CaOs3Cl, from the Alexandria database.

Results
energy relative to the lowest polymorph listed for this composition: 1928 meV/atom
formation energy (no corrections): 17.0 eV per formula unit

Cell lengths 4.988, 4.988, 4.988 Å; angles 90.00, 90.00, 90.00 degrees
Space group Pm-3m (No. 221)
Unique sites:
1 Ca 0.000 0.000 0.000 (multiplicity 1)
2 Os 0.000 0.000 0.500 (multiplicity 3)
3 Cl 0.500 0.500 0.500 (multiplicity 1)